PmSm6Th4 | PBE | relaxed

## Properties
SG   No. 71
E_tot   -60.78 eV per formula unit

a b c (Å): 18.319 18.319 18.319
angles (deg): 169.08 161.29 21.71
Fractional positions:
Pm1 0.000 0.000 0.000
Sm1 0.096 0.596 0.500
Sm2 0.268 0.768 0.500
Sm3 0.369 0.869 0.500
Sm4 0.631 0.131 0.500
Sm5 0.732 0.232 0.500
Sm6 0.904 0.404 0.500
Th1 0.183 0.183 0.000
Th2 0.456 0.456 0.000
Th3 0.544 0.544 0.000
Th4 0.817 0.817 0.000


ZrZn3Cl | PBE | relaxed

## Properties
SG   No. 221
Formation energy from raw total energies   699 meV per atom

a b c (Å): 4.785 4.785 4.785
angles (deg): 90.00 90.00 90.00
Fractional positions:
Zr1 0.000 0.000 0.000
Zn1 0.000 0.500 0.500
Zn2 0.500 0.000 0.500
Zn3 0.500 0.500 0.000
Cl1 0.500 0.500 0.500


BaTa2Mo | PBE | relaxed

## Properties
SG   No. 141
E_tot   -30.57 eV per formula unit

a b c (Å): 9.510 9.510 9.510
angles (deg): 147.18 147.18 47.10
Fractional positions:
Ba1 0.375 0.625 0.750
Ba2 0.625 0.375 0.250
Ta1 0.000 0.000 0.000
Ta2 0.000 0.000 0.500
Ta3 0.000 0.500 0.000
Ta4 0.500 0.000 0.500
Mo1 0.125 0.875 0.250
Mo2 0.875 0.125 0.750


CsRbHg2Pd | PBE | relaxed

## Properties
SG   No. 123
E_tot   -8.14 eV per formula unit

a b c (Å): 5.580 5.580 6.148
angles (deg): 90.00 90.00 90.00
Fractional positions:
Cs1 0.000 0.000 0.000
Rb1 0.500 0.500 0.000
Hg1 0.000 0.500 0.500
Hg2 0.500 0.000 0.500
Pd1 0.000 0.000 0.500


BaNaLa2Cr | PBE | relaxed

## Properties
SG   No. 123
E_tot   -20.47 eV per formula unit

a b c (Å): 5.465 5.465 6.281
angles (deg): 90.00 90.00 90.00
Fractional positions:
Ba1 0.000 0.000 0.000
Na1 0.500 0.500 0.000
La1 0.000 0.500 0.500
La2 0.500 0.000 0.500
Cr1 0.500 0.500 0.500


SiOsPd2 | PBE | relaxed

## Properties
SG   No. 122
Formation energy from raw total energies   328 meV per atom

a b c (Å): 9.635 9.635 9.635
angles (deg): 158.10 158.10 31.17
Fractional positions:
Si1 0.000 0.000 0.000
Si2 0.750 0.250 0.500
Os1 0.250 0.750 0.500
Os2 0.500 0.500 0.000
Pd1 0.123 0.625 0.998
Pd2 0.375 0.373 0.498
Pd3 0.627 0.125 0.002
Pd4 0.875 0.877 0.502


CaClO | PBE | relaxed

## Properties
SG   No. 186
Formation energy from raw total energies   -1863 meV per atom

a b c (Å): 3.982 3.982 9.309
angles (deg): 90.00 90.00 120.00
Fractional positions:
Ca1 0.333 0.667 0.000
Ca2 0.667 0.333 0.500
Cl1 0.333 0.667 0.694
Cl2 0.667 0.333 0.194
O1 0.000 0.000 0.457
O2 0.000 0.000 0.957


Pm13Pr3 | PBE | relaxed

## Properties
SG   No. 38
E_tot   -75.59 eV per formula unit

a b c (Å): 7.389 8.719 8.719
angles (deg): 85.70 90.00 90.00
Fractional positions:
Pm1 0.000 0.000 0.000
Pm2 0.000 0.415 0.917
Pm3 0.000 0.499 0.499
Pm4 0.000 0.917 0.415
Pm5 0.250 0.167 0.665
Pm6 0.250 0.250 0.250
Pm7 0.250 0.665 0.167
Pm8 0.500 0.416 0.917
Pm9 0.500 0.499 0.499
Pm10 0.500 0.917 0.416
Pm11 0.750 0.167 0.665
Pm12 0.750 0.250 0.250
Pm13 0.750 0.665 0.167
Pr1 0.250 0.749 0.749
Pr2 0.500 0.000 0.000
Pr3 0.750 0.749 0.749


ScNb2B2Ru5 | PBE | relaxed

## Properties
SG   No. 65
E_tot   -91.48 eV per formula unit

a b c (Å): 9.481 9.481 3.056
angles (deg): 90.00 90.00 90.16
Fractional positions:
Sc1 0.175 0.175 0.000
Sc2 0.825 0.825 0.000
Nb1 0.000 0.500 0.000
Nb2 0.324 0.676 0.000
Nb3 0.500 0.000 0.000
Nb4 0.676 0.324 0.000
B1 0.119 0.881 0.000
B2 0.377 0.377 0.000
B3 0.623 0.623 0.000
B4 0.881 0.119 0.000
Ru1 0.000 0.000 0.500
Ru2 0.077 0.716 0.500
Ru3 0.220 0.434 0.500
Ru4 0.284 0.923 0.500
Ru5 0.434 0.220 0.500
Ru6 0.500 0.500 0.500
Ru7 0.566 0.780 0.500
Ru8 0.716 0.077 0.500
Ru9 0.780 0.566 0.500
Ru10 0.923 0.284 0.500


Er2Sc3Hg4 | PBE | relaxed

## Properties
SG   No. 64
E_tot   -32.28 eV per formula unit

a b c (Å): 9.137 9.137 7.822
angles (deg): 90.00 90.00 137.66
Fractional positions:
Er1 0.098 0.902 0.906
Er2 0.402 0.598 0.406
Er3 0.598 0.402 0.594
Er4 0.902 0.098 0.094
Sc1 0.000 0.000 0.500
Sc2 0.012 0.488 0.750
Sc3 0.488 0.012 0.250
Sc4 0.500 0.500 0.000
Sc5 0.512 0.988 0.750
Sc6 0.988 0.512 0.250
Hg1 0.169 0.831 0.530
Hg2 0.185 0.315 0.750
Hg3 0.315 0.185 0.250
Hg4 0.331 0.669 0.030
Hg5 0.669 0.331 0.970
Hg6 0.685 0.815 0.750
Hg7 0.815 0.685 0.250
Hg8 0.831 0.169 0.470


LiSm2GaAu6 | PBE | relaxed

## Properties
SG   No. 2
E_tot   -39.02 eV per formula unit

a b c (Å): 5.538 6.697 6.836
angles (deg): 87.97 66.24 65.66
Fractional positions:
Li1 0.000 0.000 0.000
Sm1 0.243 0.249 0.266
Sm2 0.757 0.751 0.734
Ga1 0.500 0.500 0.500
Au1 0.185 0.308 0.824
Au2 0.240 0.923 0.594
Au3 0.319 0.693 0.174
Au4 0.681 0.307 0.826
Au5 0.760 0.077 0.406
Au6 0.815 0.692 0.176


Copy entry 7 word for word.
CaClO | PBE | relaxed

## Properties
SG   No. 186
Formation energy from raw total energies   -1863 meV per atom

a b c (Å): 3.982 3.982 9.309
angles (deg): 90.00 90.00 120.00
Fractional positions:
Ca1 0.333 0.667 0.000
Ca2 0.667 0.333 0.500
Cl1 0.333 0.667 0.694
Cl2 0.667 0.333 0.194
O1 0.000 0.000 0.457
O2 0.000 0.000 0.957


> What is the formula in the second record?

ZrZn3Cl


What did the ninth record say?
ScNb2B2Ru5 | PBE | relaxed

## Properties
SG   No. 65
E_tot   -91.48 eV per formula unit

a b c (Å): 9.481 9.481 3.056
angles (deg): 90.00 90.00 90.16
Fractional positions:
Sc1 0.175 0.175 0.000
Sc2 0.825 0.825 0.000
Nb1 0.000 0.500 0.000
Nb2 0.324 0.676 0.000
Nb3 0.500 0.000 0.000
Nb4 0.676 0.324 0.000
B1 0.119 0.881 0.000
B2 0.377 0.377 0.000
B3 0.623 0.623 0.000
B4 0.881 0.119 0.000
Ru1 0.000 0.000 0.500
Ru2 0.077 0.716 0.500
Ru3 0.220 0.434 0.500
Ru4 0.284 0.923 0.500
Ru5 0.434 0.220 0.500
Ru6 0.500 0.500 0.500
Ru7 0.566 0.780 0.500
Ru8 0.716 0.077 0.500
Ru9 0.780 0.566 0.500
Ru10 0.923 0.284 0.500